(1)
A plane-wave DFT calculation with PBE was carried out for an optimized crystal structure of NaSnP2O6.

Cell and atoms, written as CIF:
```
data_NaSnP2O6
_chemical_formula_sum 'Na3 Sn3 P6 O18'
_space_group_name_H-M_alt 'R -3'
_space_group_IT_number 148
_space_group_name_Hall '-R 3'
_cell_length_a 5.4810
_cell_length_b 5.4810
_cell_length_c 17.7582
_cell_angle_alpha 90.00
_cell_angle_beta 90.00
_cell_angle_gamma 120.00
loop_
_atom_site_label
_atom_site_fract_x
_atom_site_fract_y
_atom_site_fract_z
Na1 0.0000 0.0000 0.0000
Sn1 0.0000 0.0000 0.5000
P1 0.0000 0.0000 0.2662
O1 0.9999 0.2748 0.7491
```

***

(2)
# Ca3Ni4P4 PBE optimized geometry
# Formation enthalpy at 0 K = -9.81 eV per formula unit
data_Ca3Ni4P4
_chemical_formula_sum 'Ca3 Ni4 P4'
_space_group_name_H-M_alt 'P -1'
_space_group_IT_number 2
_space_group_name_Hall '-P 1'
_cell_length_a 3.9014
_cell_length_b 4.0036
_cell_length_c 11.6956
_cell_angle_alpha 80.17
_cell_angle_beta 80.48
_cell_angle_gamma 89.99
loop_
_atom_site_label
_atom_site_fract_x
_atom_site_fract_y
_atom_site_fract_z
Ca1 0.0000 0.0000 0.0000
Ca2 0.3522 0.8521 0.2950
Ni1 0.0967 0.5980 0.8055
Ni2 0.2497 0.2492 0.5013
P1 0.1955 0.6957 0.6087
P2 0.4482 0.4470 0.1038

***

(3)
# ZnCdCo2 PBE optimized geometry
# Formation enthalpy at 0 K = 2.04 eV per formula unit
data_ZnCdCo2
_chemical_formula_sum 'Zn4 Cd4 Co8'
_space_group_name_H-M_alt 'I -4 2 d'
_space_group_IT_number 122
_space_group_name_Hall 'I -4 2bw'
_cell_length_a 3.7654
_cell_length_b 3.7654
_cell_length_c 17.9175
_cell_angle_alpha 90.00
_cell_angle_beta 90.00
_cell_angle_gamma 90.00
loop_
_atom_site_label
_atom_site_fract_x
_atom_site_fract_y
_atom_site_fract_z
Zn1 0.0000 0.0000 0.0000
Cd1 0.0000 0.0000 0.5000
Co1 0.1733 0.2500 0.1250

***

(4)
# ZrNbAg2 PBE optimized geometry
# Distance to the lowest polymorph of the same formula = 0.244 eV/atom
# Formation enthalpy at 0 K = 2.12 eV per formula unit
data_ZrNbAg2
_chemical_formula_sum 'Zr4 Nb4 Ag8'
_space_group_name_H-M_alt 'I -4 2 d'
_space_group_IT_number 122
_space_group_name_Hall 'I -4 2bw'
_cell_length_a 7.7613
_cell_length_b 7.7613
_cell_length_c 5.4158
_cell_angle_alpha 90.00
_cell_angle_beta 90.00
_cell_angle_gamma 90.00
loop_
_atom_site_label
_atom_site_fract_x
_atom_site_fract_y
_atom_site_fract_z
Zr1 0.0000 0.0000 0.0000
Nb1 0.0000 0.0000 0.5000
Ag1 0.2390 0.2500 0.6250

***

(5)
# HoGa5Ni2Pd PBE optimized geometry
# Formation enthalpy at 0 K = -2.72 eV per formula unit
data_HoGa5Ni2Pd
_chemical_formula_sum 'Ho1 Ga5 Ni2 Pd1'
_space_group_name_H-M_alt 'P 4/m m m'
_space_group_IT_number 123
_space_group_name_Hall '-P 4 2'
_cell_length_a 4.6546
_cell_length_b 4.6546
_cell_length_c 7.0100
_cell_angle_alpha 90.00
_cell_angle_beta 90.00
_cell_angle_gamma 90.00
loop_
_atom_site_label
_atom_site_fract_x
_atom_site_fract_y
_atom_site_fract_z
Ho1 0.0000 0.0000 0.0000
Ga1 0.0000 0.5000 0.2974
Ga2 0.5000 0.5000 0.0000
Ni1 0.5000 0.5000 0.3260
Pd1 0.0000 0.0000 0.5000

***

(6)
A plane-wave DFT calculation with PBE was carried out for an optimized crystal structure of KSc2Se.

Cell and atoms, written as CIF:
```
data_KSc2Se
_chemical_formula_sum 'K4 Sc8 Se4'
_space_group_name_H-M_alt 'I 41/a m d'
_space_group_IT_number 141
_cell_length_a 6.0167
_cell_length_b 6.0167
_cell_length_c 17.6643
_cell_angle_alpha 90.00
_cell_angle_beta 90.00
_cell_angle_gamma 90.00
loop_
_space_group_symop_operation_xyz
'x,y,z'
'-x,-y,-z'
'-y+1/4,x+3/4,z+1/4'
'y+1/4,-x+3/4,-z+1/4'
'-x+1/2,-y,z+1/2'
'x+1/2,y,-z+1/2'
'y+1/4,-x+1/4,z+3/4'
'-y+1/4,x+1/4,-z+3/4'
'x,-y,-z'
'-x,y,z'
'-y+1/4,-x+1/4,-z+3/4'
'y+1/4,x+1/4,z+3/4'
'-x+1/2,y,-z+1/2'
'x+1/2,-y,z+1/2'
'y+1/4,x+3/4,-z+1/4'
'-y+1/4,-x+3/4,z+1/4'
'x+1/2,y+1/2,z+1/2'
'-x+1/2,-y+1/2,-z+1/2'
'-y+3/4,x+1/4,z+3/4'
'y+3/4,-x+1/4,-z+3/4'
'-x,-y+1/2,z'
'x,y+1/2,-z'
'y+3/4,-x+3/4,z+1/4'
'-y+3/4,x+3/4,-z+1/4'
'x+1/2,-y+1/2,-z+1/2'
'-x+1/2,y+1/2,z+1/2'
'-y+3/4,-x+3/4,-z+1/4'
'y+3/4,x+3/4,z+1/4'
'-x,y+1/2,-z'
'x,-y+1/2,z'
'y+3/4,x+1/4,-z+3/4'
'-y+3/4,-x+1/4,z+3/4'
loop_
_atom_site_label
_atom_site_fract_x
_atom_site_fract_y
_atom_site_fract_z
K1 0.0000 0.2500 0.3750
Sc1 0.0000 0.0000 0.0000
Se1 0.0000 0.2500 0.8750
```

***

(7)
A plane-wave DFT calculation with PBE was carried out for an optimized crystal structure of Cs2RbCdBr6.

Cell and atoms, written as CIF:
```
data_Cs2RbCdBr6
_chemical_formula_sum 'Cs8 Rb4 Cd4 Br24'
_space_group_name_H-M_alt 'F m -3 m'
_space_group_IT_number 225
_space_group_name_Hall '-F 4 2 3'
_cell_length_a 12.0321
_cell_length_b 12.0321
_cell_length_c 12.0321
_cell_angle_alpha 90.00
_cell_angle_beta 90.00
_cell_angle_gamma 90.00
loop_
_atom_site_label
_atom_site_fract_x
_atom_site_fract_y
_atom_site_fract_z
Cs1 0.2500 0.2500 0.2500
Rb1 0.0000 0.0000 0.0000
Cd1 0.0000 0.0000 0.5000
Br1 0.0000 0.0000 0.2703
```

***

(8)
A plane-wave DFT calculation with PBE was carried out for an optimized crystal structure of H2Pb2S2O.

Cell and atoms, written as CIF:
```
data_H2Pb2S2O
_chemical_formula_sum 'H4 Pb4 S4 O2'
_space_group_name_H-M_alt 'C 1 2/m 1'
_space_group_IT_number 12
_space_group_name_Hall '-C 2y'
_cell_length_a 11.9347
_cell_length_b 3.9973
_cell_length_c 8.3651
_cell_angle_alpha 90.00
_cell_angle_beta 133.01
_cell_angle_gamma 90.00
loop_
_atom_site_label
_atom_site_fract_x
_atom_site_fract_y
_atom_site_fract_z
H1 0.1112 0.0000 0.1073
Pb1 0.0527 0.5000 0.3280
S1 0.2034 0.0000 0.6460
O1 0.0000 0.0000 0.0000
```

***

In eV per atom, the E values for the records above are, in order, -6.27 -5.51 -3.59 -5.55 -4.35 -4.35 -2.59 -4.38.